Record 1
First-principles (PBE) data for a relaxed PuAgPd crystal, as listed in Alexandria via LeMat-Bulk.

Calculated values
Calculated volume in Å³/cell: 122.4
Total magnetization in μB per cell: 11.3
E above lowest polymorph in meV per atom: 69.5

The structure in POSCAR format:
```
PuAgPd
1.0
-3.389 4.383 -3.499
-6.017 1.088 -2.356
5.329 -1.540 7.812
Pu Pd Ag
2 2 2
direct
0.747 0.747 0.230
0.253 0.253 0.770
0.573 0.573 0.741
0.427 0.427 0.259
0.089 0.089 0.274
0.911 0.911 0.726
```


Record 2
First-principles (PBE) data for a relaxed PuAg2Pd crystal, as listed in Alexandria via LeMat-Bulk.

Calculated values
Calculated volume in Å³/cell: 160.6
Total magnetization in μB per cell: 10.9
E above lowest polymorph in meV per atom: 0.0

The structure in POSCAR format:
```
PuAg2Pd
1.0
-3.137 4.656 -0.214
-2.258 -5.176 -1.257
-1.440 -0.716 5.535
Pu Pd Ag
2 2 4
direct
0.000 0.751 0.750
0.000 0.249 0.250
0.000 0.749 0.250
0.000 0.251 0.750
0.501 0.250 0.000
0.499 0.750 0.500
0.499 0.750 0.000
0.501 0.250 0.500
```


Record 3
First-principles (PBE) data for a relaxed PuAg2Pd8 crystal, as listed in Alexandria via LeMat-Bulk.

Calculated values
Calculated volume in Å³/cell: 183.2
Total magnetization in μB per cell: 4.0

The structure in POSCAR format:
```
PuAg2Pd8
1.0
3.973 0.000 -1.115
-0.665 5.837 -2.372
0.227 -1.393 8.446
Pd Pu Ag
8 1 2
direct
0.864 0.908 0.728
0.319 0.547 0.637
0.590 0.723 0.180
0.136 0.092 0.272
0.045 0.365 0.090
0.681 0.453 0.363
0.410 0.277 0.820
0.955 0.635 0.910
0.500 0.000 0.000
0.773 0.184 0.545
0.227 0.816 0.455
```


Record 4
First-principles (PBE) data for a relaxed Pu3Ag2Pd3 crystal, as listed in Alexandria via LeMat-Bulk.

Calculated values
Calculated volume in Å³/cell: 146.7
Total magnetization in μB per cell: 0.0

The structure in POSCAR format:
```
Pu3Ag2Pd3
1.0
-0.789 -2.820 -0.759
4.482 0.356 -5.981
2.665 -2.503 6.528
Ag Pu Pd
2 3 3
direct
0.000 0.667 0.333
0.000 0.333 0.667
0.000 0.000 0.182
0.000 0.182 0.000
0.000 0.818 0.818
0.500 0.000 0.580
0.500 0.420 0.420
0.500 0.580 0.000
```


Record 5
First-principles (PBE) data for a relaxed PuAgPd crystal, as listed in Alexandria via LeMat-Bulk.

Calculated values
Calculated volume in Å³/cell: 133.9
Total magnetization in μB per cell: 11.5
E above lowest polymorph in meV per atom: 111.5

The structure in POSCAR format:
```
PuAgPd
1.0
-0.508 0.809 -4.581
2.773 -3.176 -3.258
-3.875 -4.670 -0.395
Pu Ag Pd
2 2 2
direct
0.188 0.914 0.459
0.406 0.479 0.136
0.062 0.167 0.924
0.533 0.226 0.671
0.705 0.882 0.103
0.890 0.512 0.493
```


Record 6
First-principles (PBE) data for a relaxed Pu2AgPd6 crystal, as listed in Alexandria via LeMat-Bulk.

Calculated values
Calculated volume in Å³/cell: 172.3
Total magnetization in μB per cell: 10.0
E above lowest polymorph in meV per atom: 0.0

The structure in POSCAR format:
```
Pu2AgPd6
1.0
6.118 -0.027 -0.016
0.031 5.703 0.006
0.031 2.846 4.942
Pd Pu Ag
6 2 1
direct
0.674 0.176 0.649
0.674 0.649 0.176
0.673 0.175 0.175
0.326 0.824 0.351
0.326 0.351 0.824
0.327 0.825 0.825
0.820 0.667 0.667
0.180 0.333 0.333
0.000 0.000 0.000
```


Record 7
First-principles (PBE) data for a relaxed Pu2AgPd6 crystal, as listed in Alexandria via LeMat-Bulk.

Calculated values
Calculated volume in Å³/cell: 161.9
Total magnetization in μB per cell: 10.7
E above lowest polymorph in meV per atom: 76.1

The structure in POSCAR format:
```
Pu2AgPd6
1.0
2.873 0.000 0.000
0.000 7.118 -3.755
0.000 -0.301 8.075
Pd Pu Ag
6 2 1
direct
0.000 0.308 0.000
0.500 0.000 0.652
0.000 0.000 0.305
0.000 0.694 0.694
0.500 0.649 0.000
0.500 0.349 0.349
0.000 0.333 0.666
0.000 0.667 0.334
0.500 0.000 0.000
```


Record 8
First-principles (PBE) data for a relaxed PuAg3Pd6 crystal, as listed in Alexandria via LeMat-Bulk.

Calculated values
Calculated volume in Å³/cell: 354.1
Total magnetization in μB per cell: 10.6

The structure in POSCAR format:
```
PuAg3Pd6
1.0
2.801 0.000 -0.490
0.000 5.657 0.000
-1.031 0.000 22.523
Pd Ag Pu
12 6 2
direct
0.397 0.500 0.192
0.747 0.746 0.396
0.247 0.754 0.896
0.603 0.500 0.808
0.753 0.246 0.104
0.897 0.000 0.692
0.253 0.254 0.604
0.103 0.000 0.308
0.753 0.754 0.104
0.247 0.246 0.896
0.747 0.254 0.396
0.253 0.746 0.604
0.582 0.000 0.801
0.418 0.000 0.199
0.000 0.000 0.500
0.082 0.500 0.301
0.500 0.500 0.000
0.918 0.500 0.699
0.500 0.500 0.500
0.000 0.000 0.000
```


Number 1: ΔE_f -0.180 eV/atom. Number 2: ΔE_f -0.145 eV/atom. Number 3: ΔE_f -0.244 eV/atom. Number 4: ΔE_f 0.211 eV/atom. Number 5: ΔE_f -0.138 eV/atom. Number 6: ΔE_f -0.324 eV/atom. Number 7: ΔE_f -0.248 eV/atom. Number 8: ΔE_f -0.031 eV/atom.